1.
First-principles (PBE-GGA) data for IrIO after structural relaxation, as listed in OQMD.

## Properties
VASP energy: -5.178 eV/atom
Distance to the lowest polymorph of the same formula: 57.5 meV per atom
M_tot: 0.0 μB per formula unit
Mass density: 8.9 g/cm3

Unit cell a=3.623 b=4.057 c=8.480 alpha=90.00 beta=90.00 gamma=90.00
Space group Pmmn (No. 59, origin choice 2)
Unique sites:
Ir1 0.250 0.250 0.108 [2 per cell]
I1 0.250 0.750 0.678 [2 per cell]
O1 0.250 0.750 0.051 [2 per cell]


2.
First-principles (PBE-GGA) data for NaPr2 after structural relaxation, as listed in OQMD.

## Properties
VASP energy: -1.400 eV/atom
Distance to the lowest polymorph of the same formula: 1801.5 meV per atom
M_tot: 3.0 μB per formula unit
Mass density: 1.6 g/cm3

Unit cell a=13.587 b=13.587 c=13.587 alpha=90.00 beta=90.00 gamma=90.00
Space group Fd-3m (No. 227, origin choice 2)
Unique sites:
Na1 0.125 0.125 0.125 [8 per cell]
Pr1 0.000 0.000 0.000 [16 per cell]


3.
First-principles (PBE-GGA) data for Ta4GaSN2 after structural relaxation, as listed in OQMD.

## Properties
VASP energy: -9.545 eV/atom
M_tot: 0.0 μB per formula unit
Mass density: 13.2 g/cm3

Unit cell a=3.0391 b=3.0391 c=13.4294 alpha=90.00 beta=90.00 gamma=120.00
Space group P-6m2 (No. 187)
Unique sites:
Ta1 0.0000 0.0000 0.1354 [2 per cell]
Ta2 0.6667 0.3333 0.3371 [2 per cell]
Ga1 0.0000 0.0000 0.5000 [1 per cell]
S1 0.6667 0.3333 0.0000 [1 per cell]
N1 0.3333 0.6667 0.2378 [2 per cell]


4.
First-principles (PBE-GGA) data for YTlFeRe after structural relaxation, as listed in OQMD.

## Properties
VASP energy: -6.755 eV/atom
Distance to the lowest polymorph of the same formula: 0.0 meV per atom
M_tot: 3.5 μB per formula unit
Mass density: 11.5 g/cm3

Unit cell a=6.765 b=6.765 c=6.765 alpha=90.00 beta=90.00 gamma=90.00
Space group F-43m (No. 216)
Unique sites:
Y1 0.000 0.000 0.000 [4 per cell]
Tl1 0.250 0.250 0.250 [4 per cell]
Fe1 0.000 0.000 0.500 [4 per cell]
Re1 0.250 0.250 0.750 [4 per cell]


5.
First-principles (PBE-GGA) data for Tb2MgNi9 after structural relaxation, as listed in OQMD.

## Properties
VASP energy: -5.362 eV/atom
M_tot: 1.8 μB per formula unit
Mass density: 8.6 g/cm3

Unit cell a=4.9029 b=4.9029 c=24.2688 alpha=90.00 beta=90.00 gamma=120.00
Space group R-3m (No. 166, hexagonal axes)
Unique sites:
Tb1 0.0000 0.0000 0.1359 [6 per cell]
Mg1 0.0000 0.0000 0.0000 [3 per cell]
Ni1 0.0000 0.0000 0.3329 [6 per cell]
Ni2 0.0000 0.0000 0.5000 [3 per cell]
Ni3 0.0008 0.5004 0.9186 [18 per cell]


6.
First-principles (PBE-GGA) data for SrGa3Pd after structural relaxation, as listed in OQMD.

## Properties
VASP energy: -3.806 eV/atom
Mass density: 6.5 g/cm3

Unit cell a=6.490 b=10.531 c=6.053 alpha=90.00 beta=90.00 gamma=90.00
Space group Cmcm (No. 63)
Unique sites:
Sr1 0.000 0.235 0.250 [4 per cell]
Ga1 0.000 0.337 0.750 [4 per cell]
Ga2 0.219 0.500 0.000 [8 per cell]
Pd1 0.000 0.097 0.750 [4 per cell]


7.
First-principles (PBE-GGA) data for CuHgSBr after structural relaxation, as listed in OQMD.

## Properties
VASP energy: -2.735 eV/atom
Mass density: 6.4 g/cm3

Unit cell a=10.226 b=18.635 c=4.095 alpha=90.00 beta=90.00 gamma=90.00
Space group Pbam (No. 55)
Unique sites:
Cu1 0.054 0.070 0.000 [4 per cell]
Cu2 0.084 0.624 0.000 [4 per cell]
Hg1 0.028 0.232 0.500 [4 per cell]
Hg2 0.243 0.391 0.500 [4 per cell]
S1 0.010 0.363 0.500 [4 per cell]
S2 0.017 0.897 0.500 [4 per cell]
Br1 0.229 0.517 0.000 [4 per cell]
Br2 0.244 0.731 0.000 [4 per cell]


8.
First-principles (PBE-GGA) data for MgCo6SbAs3 after structural relaxation, as listed in OQMD.

## Properties
VASP energy: -5.853 eV/atom
M_tot: 0.7 μB per formula unit
Mass density: 8.0 g/cm3

Unit cell a=7.0136 b=7.0136 c=3.5295 alpha=90.00 beta=90.00 gamma=120.00
Space group P-6m2 (No. 187)
Unique sites:
Mg1 0.0000 0.0000 0.0000 [1 per cell]
Co1 0.1898 0.3795 0.5000 [3 per cell]
Co2 0.5420 0.0840 0.0000 [3 per cell]
Sb1 0.3333 0.6667 0.0000 [1 per cell]
As1 0.3741 0.1870 0.5000 [3 per cell]